1.
Below is CsLiAg2P after structural relaxation, with properties calculated at the GGA-PBE level.

Cell lengths 5.7003, 5.7003, 5.3848 Å; angles 90.00, 90.00, 90.00 degrees
Positions (direct):
Cs 0.0000 0.0000 0.0000
Li 0.0000 0.0000 0.5000
Ag 0.0000 0.5000 0.0000
Ag 0.5000 0.0000 0.0000
P 0.5000 0.5000 0.5000

Values from the calculation:
Density of states at the Fermi level in states/eV/atom: 0.51
Energy of formation from the pure elements in eV per atom: 1.46

2.
Below is Cs2RbLiAg after structural relaxation, with properties calculated at the GGA-PBE level.

Cell lengths 7.4530, 7.4530, 5.6495 Å; angles 90.00, 90.00, 90.00 degrees
Positions (direct):
Cs 0.0000 0.5000 0.0000
Cs 0.5000 0.0000 0.0000
Rb 0.0000 0.0000 0.5000
Li 0.5000 0.5000 0.5000
Ag 0.5000 0.5000 0.0000

Values from the calculation:
Density of states at the Fermi level in states/eV/atom: 0.98
Energy of formation from the pure elements in eV per atom: 0.10

3.
Below is CsLi2AgRh after structural relaxation, with properties calculated at the GGA-PBE level.

Cell lengths 5.2012, 5.2012, 5.0076 Å; angles 90.00, 90.00, 90.00 degrees
Positions (direct):
Cs 0.0000 0.0000 0.0000
Li 0.0000 0.5000 0.0000
Li 0.5000 0.0000 0.0000
Ag 0.5000 0.5000 0.5000
Rh 0.0000 0.0000 0.5000

Values from the calculation:
Density of states at the Fermi level in states/eV/atom: 0.56
Energy of formation from the pure elements in eV per atom: 1.11